Below is a relaxed LaWF2 crystal, with properties calculated at the GGA+U level.

Properties
* D(E_F): 2.76 states/eV per cell
* relative energy among the computed polymorphs: 0.671 eV per atom

a b c (Å): 4.671 4.671 4.671
angles (deg): 60.00 60.00 60.00
Atoms (fractional coordinates):
F 0.250 0.250 0.250
F 0.750 0.750 0.750
La 0.000 0.000 0.000
W 0.500 0.500 0.500